First-principles (PBE) data for a relaxed structure of Y2Si2SnRh5, as listed in Alexandria.

Results
DOS(E_F): 0.428 states/eV/atom
electronic total energy: -7.41 eV/atom
formation energy from raw total energies: -0.955 eV per atom
SG: P4/mbm

```
20
Lattice="9.790 0.000 0.000 0.000 9.790 0.000 0.000 0.000 3.548" Properties=species:S:1:pos:R:3 pbc="T T T"
Y 1.725 3.170 0.000
Y 3.170 8.066 0.000
Y 6.620 1.725 0.000
Y 8.066 6.620 0.000
Si 1.186 6.081 0.000
Si 3.709 1.186 0.000
Si 6.081 8.605 0.000
Si 8.605 3.709 0.000
Sn 0.000 0.000 0.000
Sn 4.895 4.895 0.000
Rh 0.000 4.895 1.774
Rh 0.680 7.662 1.774
Rh 2.129 0.680 1.774
Rh 2.767 5.575 1.774
Rh 4.215 2.767 1.774
Rh 4.895 0.000 1.774
Rh 5.575 7.024 1.774
Rh 7.024 4.215 1.774
Rh 7.662 9.110 1.774
Rh 9.110 2.129 1.774
```